(1)
Entry from Alexandria via LeMat-Bulk: EuPuCd2 after structural relaxation (PBE).

The total magnetic moment comes out at 13.20 μB/f.u. As for the energy of formation: -0.099 eV/atom. Its relative energy among the computed polymorphs is 0.037 eV/atom. The value obtained for the theoretical density is 8.9 g/cm³.

Geometry as CIF:
```
data_EuPuCd2
_space_group_name_H-M_alt 'F m -3 m'
_space_group_IT_number 225
_space_group_name_Hall '-F 4 2 3'
_cell_length_a 7.7345
_cell_length_b 7.7345
_cell_length_c 7.7345
_cell_angle_alpha 90.00
_cell_angle_beta 90.00
_cell_angle_gamma 90.00
loop_
_atom_site_label
_atom_site_type_symbol
_atom_site_fract_x
_atom_site_fract_y
_atom_site_fract_z
_atom_site_occupancy
Eu1 Eu 0.0000 0.0000 0.0000 1
Pu1 Pu 0.0000 0.0000 0.5000 1
Cd1 Cd 0.2500 0.2500 0.2500 1
```

=====

(2)
Entry from Alexandria via LeMat-Bulk: EuPuCdSb after structural relaxation (PBE).

The total magnetic moment comes out at 13.97 μB/f.u. The value obtained for the theoretical density is 9.2 g/cm³. The calculation puts the formation energy from raw total energies at -0.452 eV/atom.

Geometry as CIF:
```
data_EuPuCdSb
_space_group_name_H-M_alt 'F -4 3 m'
_space_group_IT_number 216
_space_group_name_Hall 'F -4 2 3'
_cell_length_a 7.7016
_cell_length_b 7.7016
_cell_length_c 7.7016
_cell_angle_alpha 90.00
_cell_angle_beta 90.00
_cell_angle_gamma 90.00
loop_
_atom_site_label
_atom_site_type_symbol
_atom_site_fract_x
_atom_site_fract_y
_atom_site_fract_z
_atom_site_occupancy
Eu1 Eu 0.0000 0.0000 0.0000 1
Pu1 Pu 0.0000 0.0000 0.5000 1
Cd1 Cd 0.2500 0.2500 0.2500 1
Sb1 Sb 0.2500 0.2500 0.7500 1
```

=====

(3)
Entry from Alexandria via LeMat-Bulk: SmEuPuCd after structural relaxation (PBE).

The total magnetic moment comes out at 13.77 μB/f.u. As for the energy of formation: 0.101 eV/atom. The value obtained for the theoretical density is 9.1 g/cm³.

Geometry as CIF:
```
data_SmEuPuCd
_space_group_name_H-M_alt 'F -4 3 m'
_space_group_IT_number 216
_space_group_name_Hall 'F -4 2 3'
_cell_length_a 7.8484
_cell_length_b 7.8484
_cell_length_c 7.8484
_cell_angle_alpha 90.00
_cell_angle_beta 90.00
_cell_angle_gamma 90.00
loop_
_atom_site_label
_atom_site_type_symbol
_atom_site_fract_x
_atom_site_fract_y
_atom_site_fract_z
_atom_site_occupancy
Sm1 Sm 0.0000 0.0000 0.0000 1
Eu1 Eu 0.0000 0.0000 0.5000 1
Pu1 Pu 0.2500 0.2500 0.7500 1
Cd1 Cd 0.2500 0.2500 0.2500 1
```

=====

(4)
Entry from Alexandria via LeMat-Bulk: TbEuPuCd after structural relaxation (PBE).

The total magnetic moment comes out at 0.67 μB/f.u. As for the energy of formation: 0.144 eV/atom. The value obtained for the theoretical density is 9.4 g/cm³.

Geometry as CIF:
```
data_TbEuPuCd
_space_group_name_H-M_alt 'F -4 3 m'
_space_group_IT_number 216
_space_group_name_Hall 'F -4 2 3'
_cell_length_a 7.7948
_cell_length_b 7.7948
_cell_length_c 7.7948
_cell_angle_alpha 90.00
_cell_angle_beta 90.00
_cell_angle_gamma 90.00
loop_
_atom_site_label
_atom_site_type_symbol
_atom_site_fract_x
_atom_site_fract_y
_atom_site_fract_z
_atom_site_occupancy
Tb1 Tb 0.0000 0.0000 0.0000 1
Eu1 Eu 0.0000 0.0000 0.5000 1
Pu1 Pu 0.2500 0.2500 0.2500 1
Cd1 Cd 0.2500 0.2500 0.7500 1
```

=====

(5)
Entry from Alexandria via LeMat-Bulk: RbEu2Cd after structural relaxation (PBE).

The total magnetic moment comes out at 15.51 μB/f.u. As for the energy of formation: 0.063 eV/atom. The value obtained for the theoretical density is 4.4 g/cm³.

Geometry as CIF:
```
data_RbEu2Cd
_space_group_name_H-M_alt 'R -3 m'
_space_group_IT_number 166
_space_group_name_Hall '-R 3 2"'
_cell_length_a 4.0786
_cell_length_b 4.0786
_cell_length_c 39.2159
_cell_angle_alpha 90.00
_cell_angle_beta 90.00
_cell_angle_gamma 120.00
loop_
_atom_site_label
_atom_site_type_symbol
_atom_site_fract_x
_atom_site_fract_y
_atom_site_fract_z
_atom_site_occupancy
Rb1 Rb 0.0000 0.0000 0.0000 1
Eu1 Eu 0.0000 0.0000 0.1056 1
Cd1 Cd 0.0000 0.0000 0.5000 1
```

=====

(6)
Entry from Alexandria via LeMat-Bulk: RbEuCd4 after structural relaxation (PBE).

The total magnetic moment comes out at 7.78 μB/f.u. As for the energy of formation: -0.117 eV/atom. The value obtained for the theoretical density is 6.4 g/cm³.

Geometry as CIF:
```
data_RbEuCd4
_space_group_name_H-M_alt 'F -4 3 m'
_space_group_IT_number 216
_space_group_name_Hall 'F -4 2 3'
_cell_length_a 8.9285
_cell_length_b 8.9285
_cell_length_c 8.9285
_cell_angle_alpha 90.00
_cell_angle_beta 90.00
_cell_angle_gamma 90.00
loop_
_atom_site_label
_atom_site_type_symbol
_atom_site_fract_x
_atom_site_fract_y
_atom_site_fract_z
_atom_site_occupancy
Rb1 Rb 0.0000 0.0000 0.0000 1
Eu1 Eu 0.2500 0.2500 0.2500 1
Cd1 Cd 0.1245 0.1245 0.6245 1
```

=====

(7)
Entry from Alexandria via LeMat-Bulk: RbEu2Cd after structural relaxation (PBE).

The total magnetic moment comes out at 14.81 μB/f.u. As for the energy of formation: -0.060 eV/atom. The value obtained for the theoretical density is 4.6 g/cm³.

Geometry as CIF:
```
data_RbEu2Cd
_space_group_name_H-M_alt 'P 4/m m m'
_space_group_IT_number 123
_space_group_name_Hall '-P 4 2'
_cell_length_a 4.0496
_cell_length_b 4.0496
_cell_length_c 11.0207
_cell_angle_alpha 90.00
_cell_angle_beta 90.00
_cell_angle_gamma 90.00
loop_
_atom_site_label
_atom_site_type_symbol
_atom_site_fract_x
_atom_site_fract_y
_atom_site_fract_z
_atom_site_occupancy
Rb1 Rb 0.0000 0.0000 0.0000 1
Eu1 Eu 0.5000 0.5000 0.3319 1
Cd1 Cd 0.0000 0.0000 0.5000 1
```

=====

(8)
Entry from Alexandria via LeMat-Bulk: RbEuCdSb after structural relaxation (PBE).

The total magnetic moment comes out at 6.99 μB/f.u. The value obtained for the theoretical density is 5.6 g/cm³. The calculation puts the formation energy from raw total energies at -0.413 eV/atom.

Geometry as CIF:
```
data_RbEuCdSb
_space_group_name_H-M_alt 'F -4 3 m'
_space_group_IT_number 216
_space_group_name_Hall 'F -4 2 3'
_cell_length_a 8.2250
_cell_length_b 8.2250
_cell_length_c 8.2250
_cell_angle_alpha 90.00
_cell_angle_beta 90.00
_cell_angle_gamma 90.00
loop_
_atom_site_label
_atom_site_type_symbol
_atom_site_fract_x
_atom_site_fract_y
_atom_site_fract_z
_atom_site_occupancy
Rb1 Rb 0.0000 0.0000 0.0000 1
Eu1 Eu 0.0000 0.0000 0.5000 1
Cd1 Cd 0.2500 0.2500 0.7500 1
Sb1 Sb 0.2500 0.2500 0.2500 1
```